! PBE-GGA NaCF3, optimized geometry; values from VASP
! Total magnetization: 0.00 μB/cell
! Distance to the lowest polymorph of the same formula: 5.65 eV per formula unit
! Uncorrected formation energy: 1.61 eV per formula unit
&SYSTEM
  ibrav = 0, nat = 5, ntyp = 3
/
ATOMIC_SPECIES
F 19.00 F.upf
C 12.01 C.upf
Na 22.99 Na.upf
ATOMIC_POSITIONS angstrom
F 0.000 0.000 2.043
C 2.043 2.043 2.043
F 2.043 0.000 0.000
F 0.000 2.043 0.000
Na 0.000 0.000 0.000
CELL_PARAMETERS angstrom
4.086 0.000 0.000
0.000 4.086 0.000
0.000 0.000 4.086


! PBE-GGA NaCF2, optimized geometry; values from VASP
! Total magnetization: 1.00 μB/cell
! Distance to the lowest polymorph of the same formula: 0.82 eV per formula unit
! Uncorrected formation energy: 0.22 eV per formula unit
&SYSTEM
  ibrav = 0, nat = 4, ntyp = 3
/
ATOMIC_SPECIES
F 19.00 F.upf
Na 22.99 Na.upf
C 12.01 C.upf
ATOMIC_POSITIONS angstrom
F -5.526 4.517 -1.356
Na -3.684 3.012 -0.904
C 0.000 0.000 0.000
F -1.842 1.506 -0.452
CELL_PARAMETERS angstrom
-2.480 2.638 1.592
-1.161 3.142 -2.103
-3.728 0.243 -1.298